HgCl2F after structural relaxation. Source: Alexandria, functional PBEsol.

```
data_HgCl2F
_space_group_name_H-M_alt 'R -3 m'
_space_group_IT_number 166
_space_group_name_Hall '-R 3 2"'
_cell_length_a 4.9151
_cell_length_b 4.9151
_cell_length_c 18.7412
_cell_angle_alpha 90.00
_cell_angle_beta 90.00
_cell_angle_gamma 120.00
loop_
_atom_site_label
_atom_site_type_symbol
_atom_site_fract_x
_atom_site_fract_y
_atom_site_fract_z
_atom_site_occupancy
Hg1 Hg 0.0000 0.0000 0.0000 1
Cl1 Cl 0.0000 0.0000 0.1197 1
F1 F 0.0000 0.0000 0.5000 1
```

Calculated values
The total energy comes out at -1.7599 eV/atom. The crystal system is trigonal. The density of states at the Fermi level comes out at 14.18 states/eV/cell. The value obtained for the energy relative to the elements, uncorrected is -0.13 eV per atom.